Entry 1:
VASP calculation (GGA-PBE) on an optimized crystal structure of Pu2PaGe2Ru5.

Summary:
E_form	-0.34	eV per atom
M_tot	19.11	Bohr magnetons per cell
energy	-9.7209	eV/atom

Cell lengths 9.9632, 9.9632, 3.6089 Å; angles 90.00, 90.00, 90.00 degrees
Closest atoms and distances in Å follow each position.
Space group P4/mbm (No. 127)
Symmetry-distinct sites (fractional):
Pu  0.1683  0.3317  0.0000 (multiplicity 4)  3 Ge 2.87-2.98, 6 Ru 2.98-3.18
Pa  0.0000  0.0000  0.0000 (multiplicity 2)  8 Ru 2.82
Ge  0.1279  0.6279  0.0000 (multiplicity 4)  6 Ru 2.52-2.55
Ru  0.0000  0.5000  0.5000 (multiplicity 2)  4 Ge 2.55
Ru  0.0710  0.7949  0.5000 (multiplicity 8)  2 Ge 2.52, 2 Pa 2.82

=====

Entry 2:
VASP calculation (GGA-PBE) on an optimized crystal structure of Pt2W3.

Summary:
ΔE to the lowest computed polymorph	0.054	eV per atom
E_form	0.01	eV per atom
M_tot	0.00	Bohr magnetons per cell
energy	-10.1757	eV/atom

Cell lengths 2.7963, 2.7963, 35.1960 Å; angles 90.00, 90.00, 120.00 degrees
Closest atoms and distances in Å follow each position.
Space group R-3m (No. 166, hexagonal axes)
Symmetry-distinct sites (fractional):
Pt  0.0000  0.0000  0.1009 (multiplicity 6)  6 Pt 2.80, 6 W 2.82-2.84
W  0.0000  0.0000  0.2987 (multiplicity 6)  9 W 2.80-2.92, 3 Pt 2.84
W  0.0000  0.0000  0.5000 (multiplicity 3)  6 W 2.80, 6 Pt 2.82

=====

- Which formula does entry 1 have?
  Pu2PaGe2Ru5

=====

- Which of these has the highest E_form?
  Pt2W3

=====

- The lowest energy belongs to which entry?
  Pt2W3